VASP calculation (PBE-GGA) on a relaxed BaTiMnCo2 crystal.

Structure (extended XYZ):
```
5
Lattice="4.635 0.000 0.000 0.000 4.635 0.000 0.000 0.000 4.737" Properties=species:S:1:pos:R:3 pbc="T T T"
Ba 0.000 0.000 0.000
Ti 2.318 2.318 2.369
Mn 2.318 2.318 0.000
Co 0.000 2.318 2.369
Co 2.318 0.000 2.369
```

Properties
VASP energy = -5.884 eV per atom
Fermi-level density of states = 5.5 states/eV/cell
formation enthalpy at 0 K = 0.76 eV per atom
ρ = 5.8 Mg/m³



VASP calculation (PBE-GGA) on a relaxed Ba2YMnCo crystal.

Structure (extended XYZ):
```
5
Lattice="5.773 0.000 0.000 0.000 5.773 0.000 0.000 0.000 5.056" Properties=species:S:1:pos:R:3 pbc="T T T"
Ba 0.000 2.887 0.000
Ba 2.887 0.000 0.000
Y 0.000 0.000 2.528
Mn 0.000 0.000 0.000
Co 2.887 2.887 2.528
```

Properties
VASP energy = -4.315 eV per atom
Fermi-level density of states = 4.9 states/eV/cell
formation enthalpy at 0 K = 1.00 eV per atom
ρ = 4.7 Mg/m³



VASP calculation (PBE-GGA) on a relaxed BaCoMo2 crystal.

Structure (extended XYZ):
```
16
Lattice="6.555 0.000 0.000 0.000 6.555 0.000 0.000 0.000 6.555" Properties=species:S:1:pos:R:3 pbc="T T T"
Ba 0.000 0.000 0.000
Ba 0.000 3.277 3.277
Ba 3.277 0.000 3.277
Ba 3.277 3.277 0.000
Co 0.000 0.000 3.277
Co 0.000 3.277 0.000
Co 3.277 0.000 0.000
Co 3.277 3.277 3.277
Mo 1.639 1.639 1.639
Mo 1.639 1.639 4.916
Mo 1.639 4.916 1.639
Mo 1.639 4.916 4.916
Mo 4.916 1.639 1.639
Mo 4.916 1.639 4.916
Mo 4.916 4.916 1.639
Mo 4.916 4.916 4.916
```

Properties
VASP energy = -6.279 eV per atom
Fermi-level density of states = 20.5 states/eV/cell
formation enthalpy at 0 K = 1.39 eV per atom
energy above the most stable polymorph in this dataset = 755 meV/atom
ρ = 9.2 Mg/m³



VASP calculation (PBE-GGA) on a relaxed BaCo2Mo crystal.

Structure (extended XYZ):
```
16
Lattice="5.049 0.000 0.000 0.000 5.049 0.000 0.000 0.000 15.148" Properties=species:S:1:pos:R:3 pbc="T T T"
Ba 0.000 1.262 5.681
Ba 0.000 3.787 9.468
Ba 2.525 1.262 1.894
Ba 2.525 3.787 13.255
Co 0.000 0.000 0.000
Co 0.000 2.525 0.000
Co 1.262 1.262 11.361
Co 1.262 3.787 3.787
Co 2.525 0.000 7.574
Co 2.525 2.525 7.574
Co 3.787 1.262 11.361
Co 3.787 3.787 3.787
Mo 0.000 1.262 13.255
Mo 0.000 3.787 1.894
Mo 2.525 1.262 9.468
Mo 2.525 3.787 5.681
```

Properties
VASP energy = -5.936 eV per atom
Fermi-level density of states = 16.8 states/eV/cell
formation enthalpy at 0 K = 0.80 eV per atom
energy above the most stable polymorph in this dataset = 395 meV/atom
ρ = 6.0 Mg/m³



VASP calculation (PBE-GGA) on a relaxed BaCoMo2 crystal.

Structure (extended XYZ):
```
8
Lattice="2.823 0.000 0.000 0.000 5.047 0.000 0.000 0.000 10.914" Properties=species:S:1:pos:R:3 pbc="T T T"
Ba 0.000 0.000 0.000
Ba 1.411 2.523 5.457
Co 0.000 0.000 5.457
Co 1.411 2.523 0.000
Mo 0.000 2.523 2.214
Mo 0.000 2.523 8.700
Mo 1.411 0.000 3.243
Mo 1.411 0.000 7.671
```

Properties
VASP energy = -6.691 eV per atom
Fermi-level density of states = 6.4 states/eV/cell
formation enthalpy at 0 K = 0.98 eV per atom
energy above the most stable polymorph in this dataset = 343 meV/atom
ρ = 8.3 Mg/m³



VASP calculation (PBE-GGA) on a relaxed BaCoMo2 crystal.

Structure (extended XYZ):
```
8
Lattice="5.270 0.000 0.000 0.000 10.484 0.000 0.000 0.000 2.827" Properties=species:S:1:pos:R:3 pbc="T T T"
Ba 0.000 0.000 0.000
Ba 2.635 5.242 0.000
Co 0.000 5.242 0.000
Co 2.635 0.000 0.000
Mo 1.318 2.621 1.413
Mo 1.318 7.863 1.413
Mo 3.953 2.621 1.413
Mo 3.953 7.863 1.413
```

Properties
VASP energy = -6.290 eV per atom
Fermi-level density of states = 11.6 states/eV/cell
formation enthalpy at 0 K = 1.38 eV per atom
energy above the most stable polymorph in this dataset = 744 meV/atom
ρ = 8.3 Mg/m³



VASP calculation (PBE-GGA) on a relaxed BaCoMo2 crystal.

Structure (extended XYZ):
```
8
Lattice="3.830 0.000 0.000 0.000 3.830 0.000 0.000 0.000 10.748" Properties=species:S:1:pos:R:3 pbc="T T T"
Ba 0.000 0.000 0.000
Ba 1.915 1.915 5.374
Co 0.000 0.000 5.374
Co 1.915 1.915 0.000
Mo 0.000 1.915 2.687
Mo 0.000 1.915 8.061
Mo 1.915 0.000 2.687
Mo 1.915 0.000 8.061
```

Properties
VASP energy = -6.304 eV per atom
Fermi-level density of states = 12.9 states/eV/cell
formation enthalpy at 0 K = 1.37 eV per atom
energy above the most stable polymorph in this dataset = 730 meV/atom
ρ = 8.2 Mg/m³



VASP calculation (PBE-GGA) on a relaxed BaCoMo2 crystal.

Structure (extended XYZ):
```
8
Lattice="5.399 0.000 0.000 0.000 10.370 0.000 -0.960 0.000 2.729" Properties=species:S:1:pos:R:3 pbc="T T T"
Ba 0.000 0.000 0.000
Ba 2.700 5.185 0.000
Co 0.000 5.185 0.000
Co 2.700 0.000 0.000
Mo 0.870 2.593 1.365
Mo 0.870 7.778 1.365
Mo 3.569 2.593 1.365
Mo 3.569 7.778 1.365
```

Properties
VASP energy = -6.384 eV per atom
Fermi-level density of states = 10.8 states/eV/cell
formation enthalpy at 0 K = 1.29 eV per atom
energy above the most stable polymorph in this dataset = 650 meV/atom
ρ = 8.4 Mg/m³



VASP calculation (PBE-GGA) on a relaxed Ba4CoMo crystal.

Structure (extended XYZ):
```
6
Lattice="0.000 4.985 4.985 4.985 0.000 4.985 4.985 4.985 0.000" Properties=species:S:1:pos:R:3 pbc="T T T"
Ba 1.244 1.244 1.244
Ba 3.741 3.741 1.244
Ba 3.741 1.244 3.741
Ba 1.244 3.741 3.741
Co 7.477 7.477 7.477
Mo 4.985 4.985 4.985
```

Properties
VASP energy = -2.778 eV per atom
Fermi-level density of states = 10.6 states/eV/cell
formation enthalpy at 0 K = 1.49 eV per atom
ρ = 4.7 Mg/m³



VASP calculation (PBE-GGA) on a relaxed BaCo3Mo crystal.

Structure (extended XYZ):
```
5
Lattice="4.714 0.000 0.000 0.000 4.714 0.000 0.000 0.000 4.714" Properties=species:S:1:pos:R:3 pbc="T T T"
Ba 0.000 0.000 0.000
Co 0.000 0.000 2.357
Co 0.000 2.357 0.000
Co 2.357 0.000 0.000
Mo 2.357 2.357 2.357
```

Properties
VASP energy = -4.243 eV per atom
Fermi-level density of states = 6.9 states/eV/cell
formation enthalpy at 0 K = 2.57 eV per atom
energy above the most stable polymorph in this dataset = 1660 meV/atom
ρ = 6.5 Mg/m³



VASP calculation (PBE-GGA) on a relaxed BaCoMo2 crystal.

Structure (extended XYZ):
```
16
Lattice="4.984 0.000 0.000 0.000 4.984 0.000 0.000 0.000 16.556" Properties=species:S:1:pos:R:3 pbc="T T T"
Ba 0.000 1.246 6.209
Ba 0.000 3.738 10.348
Ba 2.492 1.246 2.070
Ba 2.492 3.738 14.487
Co 0.000 1.246 14.487
Co 0.000 3.738 2.070
Co 2.492 1.246 10.348
Co 2.492 3.738 6.209
Mo 0.000 0.000 0.000
Mo 0.000 2.492 0.000
Mo 1.246 1.246 12.417
Mo 1.246 3.738 4.139
Mo 2.492 0.000 8.278
Mo 2.492 2.492 8.278
Mo 3.738 1.246 12.417
Mo 3.738 3.738 4.139
```

Properties
VASP energy = -6.506 eV per atom
Fermi-level density of states = 27.7 states/eV/cell
formation enthalpy at 0 K = 1.17 eV per atom
energy above the most stable polymorph in this dataset = 528 meV/atom
ρ = 6.3 Mg/m³



VASP calculation (PBE-GGA) on a relaxed BaCo2Mo crystal.

Structure (extended XYZ):
```
8
Lattice="2.945 0.000 0.000 0.000 5.125 0.000 0.000 0.000 9.819" Properties=species:S:1:pos:R:3 pbc="T T T"
Ba 0.000 0.000 0.000
Ba 1.473 2.563 4.909
Co 0.000 0.000 4.826
Co 0.000 2.563 7.773
Co 1.473 0.000 2.863
Co 1.473 2.563 9.735
Mo 0.000 2.563 1.987
Mo 1.473 0.000 6.896
```

Properties
VASP energy = -5.707 eV per atom
Fermi-level density of states = 11.6 states/eV/cell
formation enthalpy at 0 K = 1.03 eV per atom
energy above the most stable polymorph in this dataset = 625 meV/atom
ρ = 7.9 Mg/m³



VASP calculation (PBE-GGA) on a relaxed Ba2CoMo2 crystal.

Structure (extended XYZ):
```
10
Lattice="9.491 0.000 0.000 0.000 9.491 0.000 0.000 0.000 3.325" Properties=species:S:1:pos:R:3 pbc="T T T"
Ba 1.988 2.757 0.000
Ba 2.757 7.503 0.000
Ba 6.733 1.988 0.000
Ba 7.503 6.733 0.000
Co 0.000 0.000 0.000
Co 4.745 4.745 0.000
Mo 0.750 5.496 1.662
Mo 3.995 0.750 1.662
Mo 5.496 8.740 1.662
Mo 8.740 3.995 1.662
```

Properties
VASP energy = -4.957 eV per atom
Fermi-level density of states = 16.0 states/eV/cell
formation enthalpy at 0 K = 1.57 eV per atom
energy above the most stable polymorph in this dataset = 659 meV/atom
ρ = 5.8 Mg/m³



VASP calculation (PBE-GGA) on a relaxed BaCoMo2 crystal.

Structure (extended XYZ):
```
4
Lattice="3.299 0.000 0.000 0.000 4.377 0.000 -1.540 0.000 6.546" Properties=species:S:1:pos:R:3 pbc="T T T"
Ba 0.000 0.000 0.000
Co 0.879 0.000 3.273
Mo 0.010 2.188 4.144
Mo 1.749 2.188 2.402
```

Properties
VASP energy = -6.772 eV per atom
Fermi-level density of states = 4.9 states/eV/cell
formation enthalpy at 0 K = 0.90 eV per atom
energy above the most stable polymorph in this dataset = 263 meV/atom
ρ = 6.8 Mg/m³



VASP calculation (PBE-GGA) on a relaxed BaCo2Mo crystal.

Structure (extended XYZ):
```
4
Lattice="4.863 0.000 0.000 0.000 4.863 0.000 0.000 0.000 3.096" Properties=species:S:1:pos:R:3 pbc="T T T"
Ba 0.000 0.000 0.000
Co 0.000 2.432 1.548
Co 2.432 0.000 1.548
Mo 2.432 2.432 0.000
```

Properties
VASP energy = -5.626 eV per atom
Fermi-level density of states = 8.7 states/eV/cell
formation enthalpy at 0 K = 1.12 eV per atom
energy above the most stable polymorph in this dataset = 705 meV/atom
ρ = 8.0 Mg/m³



VASP calculation (PBE-GGA) on a relaxed BaCoMo3 crystal.

Structure (extended XYZ):
```
5
Lattice="4.720 0.000 0.000 0.000 4.720 0.000 0.000 0.000 4.720" Properties=species:S:1:pos:R:3 pbc="T T T"
Ba 0.000 0.000 0.000
Co 2.360 2.360 2.360
Mo 0.000 2.360 2.360
Mo 2.360 0.000 2.360
Mo 2.360 2.360 0.000
```

Properties
VASP energy = -6.978 eV per atom
Fermi-level density of states = 6.6 states/eV/cell
formation enthalpy at 0 K = 1.33 eV per atom
energy above the most stable polymorph in this dataset = 0 meV/atom
ρ = 7.6 Mg/m³



VASP calculation (PBE-GGA) on a relaxed BaCo2Mo crystal.

Structure (extended XYZ):
```
12
Lattice="4.129 0.000 0.000 -2.064 3.576 0.000 0.000 0.000 17.854" Properties=species:S:1:pos:R:3 pbc="T T T"
Ba 0.000 0.000 0.000
Ba 0.000 2.384 11.903
Ba 2.064 1.192 5.951
Co 0.000 0.000 3.386
Co 0.000 0.000 9.253
Co 0.000 2.384 3.302
Co 0.000 2.384 15.289
Co 2.064 1.192 9.338
Co 2.064 1.192 15.204
Mo 0.000 0.000 14.529
Mo 0.000 2.384 8.578
Mo 2.064 1.192 2.626
```

Properties
VASP energy = -6.288 eV per atom
Fermi-level density of states = 11.7 states/eV/cell
formation enthalpy at 0 K = 0.45 eV per atom
energy above the most stable polymorph in this dataset = 43 meV/atom
ρ = 6.6 Mg/m³



VASP calculation (PBE-GGA) on a relaxed BaCo2Mo crystal.

Structure (extended XYZ):
```
12
Lattice="4.160 0.000 0.000 -2.080 3.603 0.000 0.000 0.000 17.580" Properties=species:S:1:pos:R:3 pbc="T T T"
Ba 0.000 0.000 0.000
Ba 0.000 2.402 11.720
Ba 2.080 1.201 5.860
Co 0.000 0.000 3.330
Co 0.000 0.000 14.250
Co 0.000 2.402 8.390
Co 0.000 2.402 15.050
Co 2.080 1.201 2.530
Co 2.080 1.201 9.190
Mo 0.000 0.000 8.790
Mo 0.000 2.402 2.930
Mo 2.080 1.201 14.650
```

Properties
VASP energy = -6.331 eV per atom
Fermi-level density of states = 16.5 states/eV/cell
formation enthalpy at 0 K = 0.41 eV per atom
energy above the most stable polymorph in this dataset = 0 meV/atom
ρ = 6.6 Mg/m³



VASP calculation (PBE-GGA) on a relaxed BaCoMo2 crystal.

Structure (extended XYZ):
```
12
Lattice="4.214 0.000 0.000 -2.107 3.650 0.000 0.000 0.000 18.607" Properties=species:S:1:pos:R:3 pbc="T T T"
Ba 0.000 0.000 0.000
Ba 0.000 2.433 12.405
Ba 2.107 1.217 6.202
Co 0.000 0.000 15.078
Co 0.000 2.433 8.876
Co 2.107 1.217 2.673
Mo 0.000 0.000 3.660
Mo 0.000 0.000 8.911
Mo 0.000 2.433 2.708
Mo 0.000 2.433 16.065
Mo 2.107 1.217 9.863
Mo 2.107 1.217 15.113
```

Properties
VASP energy = -7.034 eV per atom
Fermi-level density of states = 12.4 states/eV/cell
formation enthalpy at 0 K = 0.64 eV per atom
energy above the most stable polymorph in this dataset = 0 meV/atom
ρ = 6.8 Mg/m³



VASP calculation (PBE-GGA) on a relaxed BaCo2Mo crystal.

Structure (extended XYZ):
```
8
Lattice="3.692 0.000 0.000 0.000 5.889 0.000 0.000 0.000 7.888" Properties=species:S:1:pos:R:3 pbc="T T T"
Ba 0.000 0.000 0.000
Ba 1.846 2.944 3.944
Co 0.000 2.944 1.424
Co 0.000 2.944 6.464
Co 1.846 0.000 2.520
Co 1.846 0.000 5.368
Mo 0.000 0.000 3.944
Mo 1.846 2.944 0.000
```

Properties
VASP energy = -5.720 eV per atom
Fermi-level density of states = 9.2 states/eV/cell
formation enthalpy at 0 K = 1.02 eV per atom
energy above the most stable polymorph in this dataset = 611 meV/atom
ρ = 6.8 Mg/m³